## Li3YbPCO7 (PBE-GGA)

Data for a relaxed structure of Li3YbPCO7.

## Properties
- Formation energy (no corrections): -29.06 eV per formula unit
- SG: P2_1 (4)
- N(E_F): 2.05 states/eV/f.u.

Structure (POSCAR):
```
Li3YbPCO7
1.0
5.090 0.000 0.000
0.000 6.733 0.000
-0.469 0.000 8.794
Li Yb P C O
6 2 2 2 14
direct
0.019 0.000 0.487
0.404 0.970 0.046
0.470 0.841 0.658
0.530 0.341 0.342
0.596 0.470 0.954
0.981 0.500 0.513
0.052 0.203 0.798
0.948 0.703 0.202
0.011 0.740 0.805
0.989 0.240 0.195
0.453 0.731 0.356
0.547 0.231 0.644
0.085 0.543 0.728
0.145 0.381 0.309
0.158 0.197 0.057
0.267 0.765 0.448
0.268 0.855 0.854
0.331 0.144 0.595
0.423 0.775 0.211
0.577 0.275 0.789
0.669 0.644 0.405
0.732 0.355 0.146
0.733 0.265 0.552
0.842 0.697 0.943
0.855 0.881 0.691
0.915 0.043 0.272
```